First-principles (GGA-PBE) data for a geometry-optimized Ce3TmPu2Te6 structure, as listed in the Alexandria database.

Results
space-group type	C2/m (12)
V	371	Å³/cell
size of the total moment	8.59	μB per cell
E_tot	-84.8	eV/f.u.

a = 7.629 Å, b = 7.629 Å, c = 7.788 Å
α = 99.40°, β = 99.40°, γ = 120.00°
Sites, in units of the cell vectors:
1 Ce 0.000 0.000 0.000
2 Ce 0.330 0.670 0.000
3 Ce 0.670 0.330 0.000
4 Tm 0.500 0.500 0.500
5 Pu 0.166 0.834 0.500
6 Pu 0.834 0.166 0.500
7 Te 0.092 0.420 0.260
8 Te 0.254 0.254 0.743
9 Te 0.420 0.092 0.260
10 Te 0.580 0.908 0.740
11 Te 0.746 0.746 0.257
12 Te 0.908 0.580 0.740